Model 1:
## Mn2GeF8 (GGA+U)

Data for Mn2GeF8 after structural relaxation.

Properties
**Magnetization**: 0.91 μB per atom
**SG**: C2/m

Unit cell a=5.8487 b=5.8487 c=4.3935 alpha=90.77 beta=90.77 gamma=72.29
Closest atoms and distances in Å follow each position.
Sites, in units of the cell vectors:
Mn 0.1277 0.1277 0.2510  6 F 2.10-2.24
Mn 0.8723 0.8723 0.7490  6 F 2.10-2.24
Ge 0.5000 0.5000 0.0000  6 F 1.83
F 0.0991 0.0991 0.7448  3 Mn 2.14-2.24
F 0.2178 0.5948 0.7824  1 Ge 1.83
F 0.3500 0.3500 0.2595  1 Ge 1.83
F 0.4052 0.7822 0.2176  1 Ge 1.83
F 0.5948 0.2178 0.7824  1 Ge 1.83
F 0.6500 0.6500 0.7405  1 Ge 1.83
F 0.7822 0.4052 0.2176  1 Ge 1.83
F 0.9009 0.9009 0.2552  3 Mn 2.14-2.24

=====

Model 2:
## Mn2GeF8 (GGA+U)

Data for Mn2GeF8 after structural relaxation.

Properties
**Magnetization**: 0.72 μB per atom
**SG**: C2/m

Unit cell a=5.4707 b=5.4707 c=5.1572 alpha=98.68 beta=98.68 gamma=72.09
Closest atoms and distances in Å follow each position.
Sites, in units of the cell vectors:
Mn 0.1846 0.1846 0.4446  4 F 1.86-2.05
Mn 0.8154 0.8154 0.5554  4 F 1.86-2.05
Ge 0.5000 0.5000 0.0000  6 F 2.10-2.27
F 0.0805 0.0805 0.7255  1 Mn 1.86
F 0.1635 0.5648 0.6763  2 Mn 2.05-2.22, 1 Ge 2.27
F 0.3076 0.3076 0.1849  1 Mn 1.88, 1 Ge 2.10
F 0.4352 0.8365 0.3237  2 Mn 2.05-2.22, 1 Ge 2.27
F 0.5648 0.1635 0.6763  2 Mn 2.05-2.22, 1 Ge 2.27
F 0.6924 0.6924 0.8151  1 Mn 1.88, 1 Ge 2.10
F 0.8365 0.4352 0.3237  2 Mn 2.05-2.22, 1 Ge 2.27
F 0.9195 0.9195 0.2745  1 Mn 1.86

=====

Most stable one: model 1, least stable one: model 2.

=====

Model 1:
## MnGe3F (GGA+U)

Data for MnGe3F after structural relaxation.

Properties
**Magnetization**: 0.00 μB per atom
**SG**: Pm-3m

Unit cell a=4.4669 b=4.4669 c=4.4669 alpha=90.00 beta=90.00 gamma=90.00
Closest atoms and distances in Å follow each position.
Sites, in units of the cell vectors:
Mn 0.0000 0.0000 0.0000  6 Ge 2.23
Ge 0.0000 0.0000 0.5000  2 Mn 2.23
Ge 0.0000 0.5000 0.0000  2 Mn 2.23
Ge 0.5000 0.0000 0.0000  2 Mn 2.23
F 0.5000 0.5000 0.5000  12 Ge 3.16

=====

Model 2:
## MnGe3F (GGA+U)

Data for MnGe3F after structural relaxation.

Properties
**Magnetization**: 0.85 μB per atom
**SG**: Pm-3m

Unit cell a=4.5831 b=4.5831 c=4.5831 alpha=90.00 beta=90.00 gamma=90.00
Closest atoms and distances in Å follow each position.
Sites, in units of the cell vectors:
Mn 0.0000 0.0000 0.0000  12 Ge 3.24
Ge 0.0000 0.5000 0.5000  2 F 2.29
Ge 0.5000 0.0000 0.5000  2 F 2.29
Ge 0.5000 0.5000 0.0000  2 F 2.29
F 0.5000 0.5000 0.5000  6 Ge 2.29

=====

Most stable one: model 2, least stable one: model 1.

=====

Model 1:
## Mn2GeF (GGA+U)

Data for Mn2GeF after structural relaxation.

Properties
**Magnetization**: 2.25 μB per atom
**SG**: I-42d

Unit cell a=5.6792 b=5.6792 c=5.6792 alpha=110.68 beta=110.68 gamma=107.09
Closest atoms and distances in Å follow each position.
Sites, in units of the cell vectors:
Mn 0.0724 0.6250 0.9474  2 F 2.22
Mn 0.3750 0.3224 0.4474  2 F 2.22
Mn 0.6776 0.1250 0.0526  2 F 2.22
Mn 0.8750 0.9276 0.5526  2 F 2.22
Ge 0.2500 0.7500 0.5000  4 Mn 2.67
Ge 0.5000 0.5000 0.0000  4 Mn 2.67
F 0.0000 0.0000 0.0000  4 Mn 2.22
F 0.7500 0.2500 0.5000  4 Mn 2.22

=====

Model 2:
## Mn2GeF (GGA+U)

Data for Mn2GeF after structural relaxation.

Properties
**Magnetization**: 2.25 μB per atom
**SG**: Fm-3m

Unit cell a=4.5037 b=4.5037 c=4.5037 alpha=60.00 beta=60.00 gamma=60.00
Closest atoms and distances in Å follow each position.
Sites, in units of the cell vectors:
Mn 0.2500 0.2500 0.2500  4 F 2.76, 4 Ge 2.76
Mn 0.7500 0.7500 0.7500  4 F 2.76, 4 Ge 2.76
Ge 0.0000 0.0000 0.0000  8 Mn 2.76
F 0.5000 0.5000 0.5000  8 Mn 2.76

=====

Most stable one: model 1, least stable one: model 2.

=====

Model 1:
## MnGeOF2 (GGA+U)

Data for MnGeOF2 after structural relaxation.

Properties
**Magnetization**: 0.94 μB per atom
**SG**: P4/mmm

Unit cell a=4.1010 b=4.1010 c=4.0333 alpha=90.00 beta=90.00 gamma=90.00
Closest atoms and distances in Å follow each position.
Sites, in units of the cell vectors:
Mn 0.0000 0.0000 0.0000  2 O 2.02, 4 F 2.05
Ge 0.5000 0.5000 0.5000  8 F 2.88, 4 O 2.90
O 0.0000 0.0000 0.5000  2 Mn 2.02
F 0.0000 0.5000 0.0000  2 Mn 2.05
F 0.5000 0.0000 0.0000  2 Mn 2.05

=====

Model 2:
## MnGeOF2 (GGA+U)

Data for MnGeOF2 after structural relaxation.

Properties
**Magnetization**: 1.14 μB per atom
**SG**: P4/mmm

Unit cell a=4.3709 b=4.3709 c=3.8831 alpha=90.00 beta=90.00 gamma=90.00
Closest atoms and distances in Å follow each position.
Sites, in units of the cell vectors:
Mn 0.0000 0.0000 0.0000  8 F 2.92, 4 O 3.09
Ge 0.5000 0.5000 0.5000  2 O 1.94
O 0.5000 0.5000 0.0000  2 Ge 1.94
F 0.0000 0.5000 0.5000  2 Ge 2.19
F 0.5000 0.0000 0.5000  2 Ge 2.19

=====

Most stable one: model 1, least stable one: model 2.

=====

Model 1:
## GeMo2F (GGA+U)

Data for GeMo2F after structural relaxation.

Properties
**Magnetization**: 1.75 μB per atom
**SG**: Fm-3m

Unit cell a=4.5977 b=4.5977 c=4.5977 alpha=60.00 beta=60.00 gamma=60.00
Closest atoms and distances in Å follow each position.
Sites, in units of the cell vectors:
Ge 0.0000 0.0000 0.0000  8 Mo 2.82
Mo 0.2500 0.2500 0.2500  4 F 2.82, 4 Ge 2.82
Mo 0.7500 0.7500 0.7500  4 F 2.82, 4 Ge 2.82
F 0.5000 0.5000 0.5000  8 Mo 2.82

=====

Model 2:
## GeMo2F (GGA+U)

Data for GeMo2F after structural relaxation.

Properties
**Magnetization**: 0.00 μB per atom
**SG**: I-42d

Unit cell a=8.9326 b=8.9326 c=8.9326 alpha=154.67 beta=154.67 gamma=36.13
Closest atoms and distances in Å follow each position.
Sites, in units of the cell vectors:
Ge 0.0000 0.0000 0.0000  4 Mo 2.53, 4 F 2.77
Ge 0.7500 0.2500 0.5000  4 Mo 2.53, 4 F 2.77
Mo 0.1239 0.6250 0.9989  2 Ge 2.53, 2 F 2.54, 4 Mo 2.76-2.78
Mo 0.3750 0.3739 0.4989  2 Ge 2.53, 2 F 2.54, 4 Mo 2.76-2.78
Mo 0.6261 0.1250 0.0011  2 Ge 2.53, 2 F 2.54, 4 Mo 2.76-2.78
Mo 0.8750 0.8761 0.5011  2 Ge 2.53, 2 F 2.54, 4 Mo 2.76-2.78
F 0.2500 0.7500 0.5000  4 Mo 2.54, 4 Ge 2.77
F 0.5000 0.5000 0.0000  4 Mo 2.54, 4 Ge 2.77

=====

Most stable one: model 1, least stable one: model 2.

=====

Model 1:
## GeMo2F2 (GGA+U)

Data for GeMo2F2 after structural relaxation.

Properties
**Magnetization**: 1.44 μB per atom
**SG**: P4/mbm

Unit cell a=7.8489 b=7.8489 c=3.2598 alpha=90.00 beta=90.00 gamma=90.00
Closest atoms and distances in Å follow each position.
Sites, in units of the cell vectors:
Ge 0.0000 0.0000 0.0000  4 Mo 2.78
Ge 0.5000 0.5000 0.0000  4 Mo 2.78
Mo 0.2362 0.2638 0.0000  2 F 2.13
Mo 0.2638 0.7638 0.0000  2 F 2.13
Mo 0.7362 0.2362 0.0000  2 F 2.13
Mo 0.7638 0.7362 0.0000  2 F 2.13
F 0.1131 0.3869 0.5000  2 Mo 2.13
F 0.3869 0.8869 0.5000  2 Mo 2.13
F 0.6131 0.1131 0.5000  2 Mo 2.13
F 0.8869 0.6131 0.5000  2 Mo 2.13

=====

Model 2:
## GeMo2F2 (GGA+U)

Data for GeMo2F2 after structural relaxation.

Properties
**Magnetization**: 0.80 μB per atom
**SG**: I4/mmm

Unit cell a=6.3309 b=6.3309 c=6.3309 alpha=147.82 beta=147.82 gamma=46.15
Closest atoms and distances in Å follow each position.
Sites, in units of the cell vectors:
Ge 0.0000 0.0000 0.0000  8 Mo 2.81
Mo 0.3876 0.3876 0.0000  4 F 2.38, 1 Mo 2.62
Mo 0.6124 0.6124 0.0000  4 F 2.38, 1 Mo 2.62
F 0.2500 0.7500 0.5000  4 Mo 2.38, 4 F 2.48
F 0.7500 0.2500 0.5000  4 Mo 2.38, 4 F 2.48

=====

Most stable one: model 2, least stable one: model 1.

=====

Model 1:
## Ge2MoF (GGA+U)

Data for Ge2MoF after structural relaxation.

Properties
**Magnetization**: 0.81 μB per atom
**SG**: Fm-3m

Unit cell a=4.5838 b=4.5838 c=4.5838 alpha=60.00 beta=60.00 gamma=60.00
Closest atoms and distances in Å follow each position.
Sites, in units of the cell vectors:
Ge 0.2500 0.2500 0.2500  4 F 2.81, 4 Mo 2.81
Ge 0.7500 0.7500 0.7500  4 F 2.81, 4 Mo 2.81
Mo 0.0000 0.0000 0.0000  8 Ge 2.81
F 0.5000 0.5000 0.5000  8 Ge 2.81

=====

Model 2:
## Ge2MoF (GGA+U)

Data for Ge2MoF after structural relaxation.

Properties
**Magnetization**: 0.53 μB per atom
**SG**: I-42d

Unit cell a=5.6164 b=5.6164 c=5.6164 alpha=105.89 beta=105.89 gamma=116.90
Closest atoms and distances in Å follow each position.
Sites, in units of the cell vectors:
Ge 0.0762 0.6250 0.9512  2 F 2.29
Ge 0.3750 0.3262 0.4512  2 F 2.29
Ge 0.6738 0.1250 0.0488  2 F 2.29
Ge 0.8750 0.9238 0.5488  2 F 2.29
Mo 0.2500 0.7500 0.5000  4 Ge 2.74, 2 F 2.94
Mo 0.5000 0.5000 0.0000  4 Ge 2.74, 2 F 2.94
F 0.0000 0.0000 0.0000  4 Ge 2.29
F 0.7500 0.2500 0.5000  4 Ge 2.29

=====

Most stable one: model 1, least stable one: model 2.

=====

Model 1:
## GeMoF3 (GGA+U)

Data for GeMoF3 after structural relaxation.

Properties
**Magnetization**: 0.61 μB per atom
**SG**: Pm-3m

Unit cell a=4.3388 b=4.3388 c=4.3388 alpha=90.00 beta=90.00 gamma=90.00
Closest atoms and distances in Å follow each position.
Sites, in units of the cell vectors:
Ge 0.0000 0.0000 0.0000  12 F 3.07
Mo 0.5000 0.5000 0.5000  6 F 2.17
F 0.0000 0.5000 0.5000  2 Mo 2.17
F 0.5000 0.0000 0.5000  2 Mo 2.17
F 0.5000 0.5000 0.0000  2 Mo 2.17

=====

Model 2:
## GeMoF3 (GGA+U)

Data for GeMoF3 after structural relaxation.

Properties
**Magnetization**: 1.00 μB per atom
**SG**: Pm-3m

Unit cell a=4.4109 b=4.4109 c=4.4109 alpha=90.00 beta=90.00 gamma=90.00
Closest atoms and distances in Å follow each position.
Sites, in units of the cell vectors:
Ge 0.0000 0.0000 0.0000  6 F 2.21
Mo 0.5000 0.5000 0.5000  12 F 3.12
F 0.0000 0.0000 0.5000  2 Ge 2.21
F 0.0000 0.5000 0.0000  2 Ge 2.21
F 0.5000 0.0000 0.0000  2 Ge 2.21

=====

Most stable one: model 1, least stable one: model 2.